--- A ---
The following is a DFT calculation (PBE) of an optimized crystal structure of Tb2Pm7Tm2.

Results
**Volume**: 740.4 Å³ per cell
**M_tot**: 0.0 μB/f.u.

Unit cell a=5.6377 b=16.0569 c=8.1787 alpha=90.00 beta=90.00 gamma=90.00
Last column: nearest neighbours and their distance in Å.
Space group Imm2 (No. 44)
Asymmetric unit:
Tb: 0.0000 0.2013 0.0000 x4  9 Pm 3.44-3.62, 1 Tm 3.68
Pm: 0.0000 0.0000 0.8002 x2  3 Tm 3.40-3.73, 6 Pm 3.55-3.57, 2 Tb 3.62
Pm: 0.0000 0.1626 0.5022 x4  3 Tm 3.50-3.84, 2 Tb 3.57, 7 Pm 3.57-3.76
Pm: 0.0000 0.3652 0.2964 x4  1 Tm 3.24, 3 Pm 3.34-3.55, 3 Tb 3.44-3.58
Pm: 0.0000 0.3676 0.7042 x4  3 Tm 3.22-3.53, 1 Pm 3.34, 3 Tb 3.46-3.60
Tm: 0.0000 0.0000 0.2165 x2  7 Pm 3.40-3.53, 2 Tm 3.65, 2 Tb 3.68
Tm: 0.0000 0.5000 0.0007 x2  4 Pm 3.22-3.24

***

--- B ---
The following is a DFT calculation (PBE) of an optimized crystal structure of Tb2Pm7Tm2.

Results
**Volume**: 749.6 Å³ per cell
**M_tot**: 0.0 μB/f.u.

Unit cell a=10.7971 b=8.7716 c=8.1982 alpha=90.00 beta=105.11 gamma=90.00
Last column: nearest neighbours and their distance in Å.
Space group C2/m (No. 12)
Asymmetric unit:
Tb: 0.0484 0.0000 0.3095 x4  8 Pm 3.28-3.66, 1 Tb 3.54, 2 Tm 3.54
Pm: 0.0000 0.5000 0.5000 x2  6 Pm 3.62-4.03
Pm: 0.2214 0.1977 0.6805 x8  5 Pm 3.31-3.62, 3 Tb 3.41-3.62, 1 Tm 3.44
Pm: 0.2353 0.0000 0.0516 x4  2 Tb 3.28-3.66, 4 Pm 3.40-3.47, 4 Tm 3.51-3.55
Tm: 0.0000 0.2916 0.0000 x4  6 Pm 3.44-3.55, 2 Tb 3.54, 1 Tm 3.66

***

Relative energies in kJ/mol of atoms: A 0.0; B 4.6

***

--- A ---
The following is a DFT calculation (PBE) of an optimized crystal structure of Tb5Pm2Tm3.

Results
**Volume**: 1312.9 Å³ per cell
**M_tot**: 0.0 μB/f.u.

Unit cell a=10.6550 b=15.8498 c=9.3903 alpha=90.00 beta=124.11 gamma=90.00
Last column: nearest neighbours and their distance in Å.
Space group C2/c (No. 15)
Asymmetric unit:
Tb: 0.0000 0.0305 0.2500 x4  1 Tb 3.12, 4 Tm 3.31-3.47
Tb: 0.0000 0.2275 0.2500 x4  1 Tb 3.12, 2 Pm 3.28
Tb: 0.0000 0.2678 0.7500 x4  5 Tm 3.29-3.51, 2 Pm 3.46, 2 Tb 3.58
Tb: 0.2298 0.1151 0.7155 x8  3 Tm 3.43-3.60, 2 Pm 3.44-3.68, 3 Tb 3.51-3.68
Pm: 0.1405 0.3750 0.5465 x8  3 Tm 3.16-3.41, 4 Tb 3.28-3.52
Tm: 0.0000 0.4752 0.7500 x4  3 Tb 3.29-3.50, 4 Pm 3.31-3.41, 2 Tm 3.36
Tm: 0.1587 0.1189 0.0476 x8  1 Pm 3.16, 5 Tb 3.31-3.51, 1 Tm 3.36

***

--- B ---
The following is a DFT calculation (PBE) of an optimized crystal structure of Tb5Pm2Tm3.

Results
**Volume**: 1368.4 Å³ per cell
**M_tot**: 0.0 μB/f.u.

Unit cell a=22.6798 b=9.3354 c=6.7718 alpha=90.00 beta=107.37 gamma=90.00
Last column: nearest neighbours and their distance in Å.
Space group C2/c (No. 15)
Asymmetric unit:
Tb: 0.0000 0.0006 0.2500 x4  6 Tb 3.30-3.39
Tb: 0.1251 0.0913 0.1251 x8  1 Pm 2.87, 1 Tm 3.20
Tb: 0.2499 0.0003 0.9999 x8  4 Tb 3.30-3.39, 2 Pm 3.35
Pm: 0.1240 0.3989 0.1240 x8  1 Tb 2.87
Tm: 0.0000 0.4996 0.2500 x4  4 Pm 3.31, 2 Tm 3.39
Tm: 0.1227 0.2511 0.6228 x8  1 Tb 3.20, 1 Pm 3.27

***

Relative energies in kJ/mol of atoms: A 0.0; B 20.4

***

--- A ---
The following is a DFT calculation (PBE) of an optimized crystal structure of Tb6Pm12Tm.

Results
**Volume**: 1966.5 Å³ per cell
**M_tot**: 0.0 μB/f.u.

Unit cell a=16.1930 b=16.1930 c=8.6598 alpha=90.00 beta=90.00 gamma=120.00
Last column: nearest neighbours and their distance in Å.
Space group R-3m (No. 166, hexagonal axes)
Asymmetric unit:
Tb: 0.0813 0.1625 0.1468 x18  2 Tb 3.41, 4 Pm 3.44-3.47, 1 Tm 3.81
Pm: 0.0000 0.3843 0.0000 x18  4 Pm 3.16-3.22, 2 Tb 3.44
Pm: 0.0906 0.5453 0.3195 x18  2 Pm 3.16, 2 Tb 3.47
Tm: 0.0000 0.0000 0.5000 x3  6 Pm 3.65, 6 Tb 3.81

***

--- B ---
The following is a DFT calculation (PBE) of an optimized crystal structure of Tb6Pm12Tm.

Results
**Volume**: 1941.2 Å³ per cell
**M_tot**: 0.0 μB/f.u.

Unit cell a=12.1247 b=12.1247 c=15.2470 alpha=90.00 beta=90.00 gamma=120.00
Last column: nearest neighbours and their distance in Å.
Space group R-3 (No. 148, hexagonal axes)
Asymmetric unit:
Tb: 0.0150 0.4260 0.1862 x18  7 Pm 3.37-3.72, 1 Tm 3.50, 2 Tb 3.54
Pm: 0.0037 0.8299 0.6908 x18  4 Pm 3.47-3.64, 4 Tb 3.53-3.72, 1 Tm 3.58
Pm: 0.0464 0.8503 0.9163 x18  6 Pm 3.34-3.73, 3 Tb 3.37-3.50
Tm: 0.0000 0.0000 0.5000 x3  6 Tb 3.50, 6 Pm 3.58

***

Relative energies in kJ/mol of atoms: A 18.9; B 0.0

***

--- A ---
The following is a DFT calculation (PBE) of an optimized crystal structure of Tb5PmTm3.

Results
**Volume**: 1133.7 Å³ per cell
**M_tot**: 0.0 μB/f.u.

Unit cell a=6.9858 b=16.7750 c=9.6739 alpha=90.00 beta=90.00 gamma=90.00
Last column: nearest neighbours and their distance in Å.
Space group Imma (No. 74)
Asymmetric unit:
Tb: 0.0000 0.0815 0.0746 x8  3 Tb 3.09-3.23
Tb: 0.0000 0.0865 0.4088 x8  4 Tb 3.23-3.50, 1 Pm 3.35, 2 Tm 3.60
Tb: 0.0000 0.2500 0.9395 x4  2 Tb 3.11, 1 Pm 3.21, 2 Tm 3.47
Pm: 0.0000 0.2500 0.6081 x4  5 Tb 3.21-3.52
Tm: 0.2500 0.0800 0.7500 x8  2 Tm 3.49, 10 Tb 3.59-3.81, 2 Pm 3.61
Tm: 0.2500 0.2500 0.2500 x4  10 Tb 3.47-3.73, 2 Tm 3.49, 2 Pm 3.88

***

--- B ---
The following is a DFT calculation (PBE) of an optimized crystal structure of Tb5PmTm3.

Results
**Volume**: 1238.1 Å³ per cell
**M_tot**: 0.0 μB/f.u.

Unit cell a=16.8160 b=7.9816 c=12.1787 alpha=90.00 beta=130.76 gamma=90.00
Last column: nearest neighbours and their distance in Å.
Space group C2/m (No. 12)
Asymmetric unit:
Tb: 0.0000 0.1794 0.0000 x4  1 Tm 2.56, 1 Tb 2.86
Tb: 0.0638 0.2935 0.7785 x8  5 Tb 3.30-3.62, 3 Tm 3.41-3.66, 2 Pm 3.64-3.65
Tb: 0.1259 0.5000 0.5680 x4  2 Tm 3.33-3.53, 6 Tb 3.35-3.73
Tb: 0.2002 0.0000 0.0694 x4  7 Tb 3.22-3.56, 1 Pm 3.25
Pm: 0.2355 0.5000 0.1312 x4  2 Tm 3.16-3.34, 1 Tb 3.25
Tm: 0.0000 0.0000 0.5000 x2  4 Tb 3.66, 2 Pm 3.72, 2 Tm 3.85
Tm: 0.0000 0.5000 0.0000 x2  2 Tb 2.56
Tm: 0.1199 0.0000 0.3183 x4  1 Tm 3.27, 5 Tb 3.31-3.53
Tm: 0.1699 0.5000 0.3378 x4  2 Tm 3.12-3.27, 1 Tb 3.33, 1 Pm 3.34

***

Relative energies in kJ/mol of atoms: A 0.0; B 35.0

***

--- A ---
The following is a DFT calculation (PBE) of an optimized crystal structure of Tb4Pm2Tm.

Results
**Volume**: 455.3 Å³ per cell
**M_tot**: 0.0 μB/f.u.

Unit cell a=6.1248 b=6.6117 c=11.5781 alpha=90.00 beta=103.81 gamma=90.00
Last column: nearest neighbours and their distance in Å.
Space group P2_1/m (No. 11)
Asymmetric unit:
Tb: 0.0282 0.2500 0.3588 x2  3 Pm 3.34-3.50, 2 Tb 3.35, 3 Tm 3.39-3.46
Tb: 0.1504 0.2500 0.9464 x2  1 Tm 3.31, 4 Pm 3.36-3.43, 4 Tb 3.48-3.56
Tb: 0.3499 0.5079 0.2127 x4  5 Tb 3.20-3.56, 1 Pm 3.48, 1 Tm 3.48
Pm: 0.2872 0.7500 0.9254 x2  9 Tb 3.36-3.63
Pm: 0.3966 0.7500 0.5066 x2  6 Tb 3.34-3.71, 1 Tm 3.42, 2 Pm 3.56
Tm: 0.1455 0.2500 0.6600 x2  6 Tb 3.31-3.48, 1 Pm 3.42

***

--- B ---
The following is a DFT calculation (PBE) of an optimized crystal structure of Tb4Pm2Tm.

Results
**Volume**: 928.5 Å³ per cell
**M_tot**: 0.0 μB/f.u.

Unit cell a=3.7476 b=12.6889 c=19.5259 alpha=90.00 beta=90.00 gamma=90.00
Last column: nearest neighbours and their distance in Å.
Space group Cmce (No. 64)
Asymmetric unit:
Tb: 0.0000 0.1079 0.1774 x8  4 Tb 3.30-3.40, 3 Pm 3.33-3.60
Tb: 0.0000 0.2345 0.4344 x8  4 Tb 3.20-3.30, 2 Pm 3.40
Pm: 0.0000 0.1084 0.6687 x8  5 Tb 3.33-3.60, 2 Pm 3.69
Tm: 0.0000 0.0000 0.0000 x4  8 Tb 3.60-3.74, 2 Tm 3.75, 4 Pm 4.03

***

Relative energies in kJ/mol of atoms: A 0.0; B 2.3

***

--- A ---
The following is a DFT calculation (PBE) of an optimized crystal structure of TbPm2Tm5.

Results
**Volume**: 500.1 Å³ per cell
**M_tot**: 0.0 μB/f.u.

Unit cell a=7.0737 b=14.1498 c=4.9966 alpha=90.00 beta=90.00 gamma=90.00
Last column: nearest neighbours and their distance in Å.
Space group Pbam (No. 55)
Asymmetric unit:
Tb: 0.0000 0.0000 0.0000 x2  8 Tm 3.53-3.54, 4 Pm 3.54
Pm: 0.2483 0.3745 0.5000 x4  10 Tm 3.53-3.55, 2 Tb 3.54
Tm: 0.0000 0.5000 0.0000 x2  4 Pm 3.53, 6 Tm 3.53-3.54, 2 Tb 3.54
Tm: 0.0017 0.7497 0.0000 x4  4 Pm 3.53, 7 Tm 3.53-3.54, 1 Tb 3.54
Tm: 0.2486 0.1250 0.5000 x4  4 Pm 3.53-3.55, 2 Tb 3.53, 6 Tm 3.53-3.54

***

--- B ---
The following is a DFT calculation (PBE) of an optimized crystal structure of TbPm2Tm5.

Results
**Volume**: 1010.3 Å³ per cell
**M_tot**: 0.0 μB/f.u.

Unit cell a=16.1072 b=9.7926 c=6.4796 alpha=90.00 beta=98.69 gamma=90.00
Last column: nearest neighbours and their distance in Å.
Space group C2/c (No. 15)
Asymmetric unit:
Tb: 0.2500 0.2500 0.0000 x4  2 Pm 2.97
Pm: 0.0785 0.2444 0.1173 x8  1 Tb 2.97, 2 Tm 3.18-3.30, 1 Pm 3.27
Tm: 0.0000 0.4423 0.7500 x4  4 Pm 3.18-3.48, 2 Tm 3.43
Tm: 0.1004 0.0907 0.6463 x8  3 Pm 3.30-3.47, 1 Tb 3.44, 5 Tm 3.60-3.69
Tm: 0.1971 0.4123 0.5237 x8  2 Tb 3.42-3.46, 1 Pm 3.43, 7 Tm 3.60-3.70

***

Relative energies in kJ/mol of atoms: A 0.0; B 14.6